Version P
An optimized crystal structure of SrZnOF2, computed with PBE.

Unit cell a=4.5775 b=4.5775 c=4.8714 alpha=90.00 beta=90.00 gamma=90.00
Space group P4/mmm (No. 123)
Unique sites:
Sr1 0.0000 0.0000 0.0000 [1 per cell]
Zn1 0.5000 0.5000 0.5000 [1 per cell]
O1 0.0000 0.0000 0.5000 [1 per cell]
F1 0.0000 0.5000 0.0000 [2 per cell]

=====

Version Q
An optimized crystal structure of SrZnOF2, computed with PBE.

Unit cell a=4.1390 b=4.1390 c=3.9687 alpha=90.00 beta=90.00 gamma=90.00
Space group P4/mmm (No. 123)
Unique sites:
Sr1 0.0000 0.0000 0.0000 [1 per cell]
Zn1 0.5000 0.5000 0.5000 [1 per cell]
O1 0.5000 0.5000 0.0000 [1 per cell]
F1 0.0000 0.5000 0.5000 [2 per cell]

=====

Which is most stable, and by how much? version Q, by 935 meV/atom.

=====

Version P
An optimized crystal structure of TaOF2, computed with PBE.

Unit cell a=5.2927 b=5.2927 c=5.2927 alpha=90.00 beta=90.00 gamma=90.00
Space group Fm-3m (No. 225)
Unique sites:
Ta1 0.0000 0.0000 0.0000 [4 per cell]
O1 0.0000 0.0000 0.5000 [4 per cell]
F1 0.2500 0.2500 0.2500 [8 per cell]

=====

Version Q
An optimized crystal structure of TaOF2, computed with PBE.

Unit cell a=2.8015 b=2.8015 c=26.3149 alpha=90.00 beta=90.00 gamma=120.00
Space group R-3m (No. 166, hexagonal axes)
Unique sites:
Ta1 0.0000 0.0000 0.0000 [3 per cell]
O1 0.0000 0.0000 0.5000 [3 per cell]
F1 0.0000 0.0000 0.3910 [6 per cell]

=====

Which is most stable, and by how much? version P, by 484 meV/atom.